Computed, not measured: a relaxed structure of Nd2TmMg3AgHg2 at the GGA-PBE level of DFT.

## Properties
- E: -2.8082 eV/atom
- Magnetic moment: 0.002 μB/atom

a b c (Å): 4.2448 7.8439 7.8439
angles (deg): 119.63 90.00 90.00
With the nearest neighbours (Å) after each atom.
Fractional coordinates of all 9 atoms:
Tm1 0.0000 0.4080 0.4080  4 Hg 3.12, 1 Ag 3.17, 6 Mg 3.47-3.49
Ag1 0.0000 0.0064 0.0064  6 Mg 2.83-2.89, 1 Tm 3.17
Mg1 0.5000 0.7569 0.7569  2 Ag 2.89, 2 Hg 2.99
Mg2 0.5000 0.0032 0.2433  2 Ag 2.83, 2 Hg 3.00-3.14
Mg3 0.5000 0.2433 0.0032  2 Ag 2.83, 2 Hg 3.00-3.14
Hg1 0.5000 0.3364 0.6574  3 Mg 2.99-3.14, 2 Tm 3.12, 4 Nd 3.22
Hg2 0.5000 0.6574 0.3364  3 Mg 2.99-3.14, 2 Tm 3.12, 4 Nd 3.22
Nd1 0.0000 0.9992 0.5892  4 Hg 3.22, 1 Ag 3.25, 6 Mg 3.46-3.55
Nd2 0.0000 0.5892 0.9992  4 Hg 3.22, 1 Ag 3.25, 6 Mg 3.46-3.55